The following is a DFT calculation (PBE) of crystalline RbGdTeO at its relaxed geometry.

## Properties
- E: -5.54 eV/atom
- Crystal system: monoclinic

Cell and atoms, written as CIF:
```
data_RbGdTeO
_cell_length_a 9.440
_cell_length_b 7.533
_cell_length_c 6.758
_cell_angle_alpha 90.00
_cell_angle_beta 100.39
_cell_angle_gamma 90.00
_symmetry_space_group_name_H-M 'P 1 21/c 1'
_symmetry_Int_Tables_number 14
_symmetry_space_group_name_Hall '-P 2ybc'
loop_
_atom_site_label
_atom_site_type_symbol
_atom_site_fract_x
_atom_site_fract_y
_atom_site_fract_z
_atom_site_occupancy
Rb1 Rb 0.132 0.082 0.320 1
Gd1 Gd 0.491 0.636 0.790 1
Te1 Te 0.254 0.574 0.365 1
O1 O 0.431 0.141 0.383 1
```


The following is a DFT calculation (PBE) of crystalline Hf2ZrNi2As4Pd2 at its relaxed geometry.

## Properties
- E: -7.00 eV/atom
- Crystal system: monoclinic

Cell and atoms, written as CIF:
```
data_Hf2ZrNi2As4Pd2
_cell_length_a 6.580
_cell_length_b 3.856
_cell_length_c 7.530
_cell_angle_alpha 90.00
_cell_angle_beta 90.61
_cell_angle_gamma 90.00
_symmetry_space_group_name_H-M 'P 1 m 1'
_symmetry_Int_Tables_number 6
_symmetry_space_group_name_Hall 'P -2y'
loop_
_atom_site_label
_atom_site_type_symbol
_atom_site_fract_x
_atom_site_fract_y
_atom_site_fract_z
_atom_site_occupancy
Hf1 Hf 0.000 0.000 0.000 1
Hf2 Hf 0.070 0.500 0.373 1
Zr1 Zr 0.513 0.000 0.867 1
Ni1 Ni 0.708 0.500 0.123 1
Ni2 Ni 0.914 0.000 0.621 1
As1 As 0.299 0.500 0.060 1
As2 As 0.308 0.000 0.562 1
As3 As 0.784 0.500 0.790 1
As4 As 0.786 0.000 0.315 1
Pd1 Pd 0.169 0.500 0.745 1
Pd2 Pd 0.404 0.000 0.249 1
```


The following is a DFT calculation (PBE) of crystalline PrNb at its relaxed geometry.

## Properties
- E: -6.09 eV/atom
- Crystal system: cubic
- ΔE_f: 2.7 eV/f.u.

Cell and atoms, written as CIF:
```
data_PrNb
_cell_length_a 6.043
_cell_length_b 6.043
_cell_length_c 6.043
_cell_angle_alpha 90.00
_cell_angle_beta 90.00
_cell_angle_gamma 90.00
_symmetry_space_group_name_H-M 'F m -3 m'
_symmetry_Int_Tables_number 225
_symmetry_space_group_name_Hall '-F 4 2 3'
loop_
_atom_site_label
_atom_site_type_symbol
_atom_site_fract_x
_atom_site_fract_y
_atom_site_fract_z
_atom_site_occupancy
Pr1 Pr 0.000 0.000 0.000 1
Nb1 Nb 0.000 0.000 0.500 1
```


The following is a DFT calculation (PBE) of crystalline GdYPt at its relaxed geometry.

## Properties
- E: -5.80 eV/atom
- Crystal system: cubic
- ΔE_f: -0.2 eV/f.u.

Cell and atoms, written as CIF:
```
data_GdYPt
_cell_length_a 6.755
_cell_length_b 6.755
_cell_length_c 6.755
_cell_angle_alpha 90.00
_cell_angle_beta 90.00
_cell_angle_gamma 90.00
_symmetry_space_group_name_H-M 'F -4 3 m'
_symmetry_Int_Tables_number 216
_symmetry_space_group_name_Hall 'F -4 2 3'
loop_
_atom_site_label
_atom_site_type_symbol
_atom_site_fract_x
_atom_site_fract_y
_atom_site_fract_z
_atom_site_occupancy
Gd1 Gd 0.000 0.000 0.000 1
Y1 Y 0.250 0.250 0.250 1
Pt1 Pt 0.250 0.250 0.750 1
```


The following is a DFT calculation (PBE) of crystalline AlCoNiHg at its relaxed geometry.

## Properties
- E: -4.18 eV/atom
- Crystal system: cubic

Cell and atoms, written as CIF:
```
data_AlCoNiHg
_cell_length_a 6.044
_cell_length_b 6.044
_cell_length_c 6.044
_cell_angle_alpha 90.00
_cell_angle_beta 90.00
_cell_angle_gamma 90.00
_symmetry_space_group_name_H-M 'F -4 3 m'
_symmetry_Int_Tables_number 216
_symmetry_space_group_name_Hall 'F -4 2 3'
loop_
_atom_site_label
_atom_site_type_symbol
_atom_site_fract_x
_atom_site_fract_y
_atom_site_fract_z
_atom_site_occupancy
Al1 Al 0.000 0.000 0.000 1
Co1 Co 0.250 0.250 0.250 1
Ni1 Ni 0.250 0.250 0.750 1
Hg1 Hg 0.000 0.000 0.500 1
```


The following is a DFT calculation (PBE) of crystalline SrErTe3Au at its relaxed geometry.

## Properties
- E: -4.33 eV/atom
- Crystal system: orthorhombic

Cell and atoms, written as CIF:
```
data_SrErTe3Au
_cell_length_a 11.441
_cell_length_b 4.355
_cell_length_c 14.677
_cell_angle_alpha 90.00
_cell_angle_beta 90.00
_cell_angle_gamma 90.00
_symmetry_space_group_name_H-M 'P n m a'
_symmetry_Int_Tables_number 62
_symmetry_space_group_name_Hall '-P 2ac 2n'
loop_
_atom_site_label
_atom_site_type_symbol
_atom_site_fract_x
_atom_site_fract_y
_atom_site_fract_z
_atom_site_occupancy
Sr1 Sr 0.228 0.250 0.016 1
Er1 Er 0.027 0.750 0.746 1
Te1 Te 0.038 0.750 0.113 1
Te2 Te 0.067 0.250 0.600 1
Te3 Te 0.227 0.250 0.338 1
Au1 Au 0.249 0.750 0.217 1
```


Question: Which of these has the highest E?
Answer: AlCoNiHg